Entry 1:
9
Lattice="7.9461 0.0000 0.0000 -3.9730 6.8815 0.0000 0.0000 0.0000 3.9989" Properties=species:S:1:pos:R:3 comment="Tm3Hf3NiBi2 | OQMD via LeMat-Bulk | GGA-PBE | optimized geometry" e_above_lowest_polymorph_mev_per_atom=0 pbc="T T T"
Hf 0.8756 1.5165 1.9994
Bi 0.0000 4.5877 1.9994
Hf -3.0975 5.3650 1.9994
Hf 6.1949 0.0000 1.9994
Ni 0.0000 0.0000 0.0000
Tm 2.4270 4.2037 0.0000
Tm 3.0920 0.0000 0.0000
Bi 3.9730 2.2938 1.9994
Tm -1.5460 2.6778 0.0000

Entry 2:
4
Lattice="-4.2361 -1.4712 1.4815 -3.6126 -0.2324 -3.0330 -1.6567 -4.2012 -1.3816" Properties=species:S:1:pos:R:3 comment="HfZnNiBi | OQMD via LeMat-Bulk | GGA-PBE | optimized geometry" final_energy_ev_per_atom=-4.9825 pbc="T T T"
Zn -4.7527 -2.9524 -1.4665
Hf -2.3764 -1.4762 -0.7333
Bi 0.0000 0.0000 0.0000
Ni -7.1291 -4.4286 -2.1998

Entry 3:
11
Lattice="-5.2986 -5.3621 -0.6615 0.2497 -4.4450 6.1192 -0.3807 7.5247 -0.7063" Properties=species:S:1:pos:R:3 comment="HfZr2Ni4Bi4 | OQMD via LeMat-Bulk | GGA-PBE | optimized geometry" e_above_lowest_polymorph_mev_per_atom=0 pbc="T T T"
Zr -4.1018 -1.3705 0.6805
Bi -3.6957 -7.1787 3.9950
Bi -2.8396 1.0813 -0.6839
Ni -3.4228 -2.2423 3.1040
Bi -1.3531 -2.6283 1.4627
Zr -1.3277 -0.9119 4.0709
Hf 0.0000 0.0000 0.0000
Ni -0.7056 2.4873 0.2409
Ni -1.6959 -5.9227 5.2397
Ni -4.6541 -6.4117 1.6244
Bi -0.0655 1.5399 2.7065

Entry 4:
11
Lattice="7.0068 0.0000 0.0000 0.0000 4.2606 0.0000 -0.4926 0.0000 7.5951" Properties=species:S:1:pos:R:3 comment="HfZr2Ni4Bi4 | OQMD via LeMat-Bulk | GGA-PBE | optimized geometry" e_above_lowest_polymorph_mev_per_atom=123 pbc="T T T"
Ni 5.1000 2.1303 4.5051
Ni 4.1693 0.0000 0.4947
Ni 1.2851 0.0000 3.1968
Ni 2.3439 2.1303 7.1171
Bi 1.2618 2.1303 4.6286
Zr 3.2249 2.1303 2.2532
Zr 3.3163 0.0000 5.4038
Bi 5.4699 0.0000 2.8681
Bi 1.5112 0.0000 0.6360
Hf 6.4847 0.0000 5.7065
Bi 5.0292 2.1303 7.2622

Entry 5:
4
Lattice="3.7589 -3.1163 -0.4549 0.2883 -3.9356 2.9113 -0.7394 -4.4798 -1.8527" Properties=species:S:1:pos:R:3 comment="HfZrNiBi | OQMD via LeMat-Bulk | GGA-PBE | optimized geometry" final_energy_ev_per_atom=-6.6853 pbc="T T T"
Ni 2.4808 -8.6488 0.4528
Bi 0.0000 0.0000 0.0000
Hf 0.8269 -2.8829 0.1509
Zr 1.6539 -5.7659 0.3019

Entry 6:
3
Lattice="-2.9448 -3.1726 2.5215 -3.7321 1.7645 2.8377 -4.7574 -0.6678 -1.4199" Properties=species:S:1:pos:R:3 comment="HfNpBi | OQMD via LeMat-Bulk | GGA-PBE | optimized geometry" e_above_lowest_polymorph_mev_per_atom=0 pbc="T T T"
Bi 0.0000 0.0000 0.0000
Hf -2.8586 -0.5189 0.9848
Np -8.5757 -1.5568 2.9545

Entry 7:
9
Lattice="-6.6070 5.1500 1.7970 -2.5525 -2.7663 -1.4569 -0.2955 -1.6589 3.6676" Properties=species:S:1:pos:R:3 comment="Hf2Bi2O5 | OQMD via LeMat-Bulk | GGA-PBE | optimized geometry" e_above_lowest_polymorph_mev_per_atom=0 pbc="T T T"
Bi 0.0000 0.0000 0.0000
Bi -3.3035 2.5750 0.8985
O -5.9051 2.2250 0.5305
Hf -3.1523 -0.8654 1.5754
O -2.1259 0.7125 2.3718
O -4.7766 2.7787 3.0928
Hf -6.3027 1.5902 2.4323
O -4.7275 0.3624 2.0038
O -3.2544 0.1588 -0.1904

Entry 8:
9
Lattice="8.8948 0.0000 0.0000 0.0000 3.7541 0.0000 0.0000 0.0000 3.7541" Properties=species:S:1:pos:R:3 comment="Hf2Bi2O5 | OQMD via LeMat-Bulk | GGA-PBE | optimized geometry" e_above_lowest_polymorph_mev_per_atom=1165 pbc="T T T"
O 3.0328 1.8771 0.0000
O 5.8620 0.0000 1.8771
Hf 0.0000 0.0000 0.0000
O 4.4474 1.8771 1.8771
O 5.8620 1.8771 0.0000
Bi 1.9041 1.8771 1.8771
Bi 6.9906 1.8771 1.8771
O 3.0328 0.0000 1.8771
Hf 4.4474 0.0000 0.0000

Entry 9:
4
Lattice="0.4930 1.1428 4.8844 -2.8322 3.6390 2.0352 -3.6694 -1.1813 3.2475" Properties=species:S:1:pos:R:3 comment="HfBi2Os | OQMD via LeMat-Bulk | GGA-PBE | optimized geometry" final_energy_ev_per_atom=-6.7465 pbc="T T T"
Bi 0.0000 0.0000 0.0000
Hf -1.5022 0.9001 2.5418
Os -3.0043 1.8002 5.0836
Bi -4.5065 2.7003 7.6254

Entry 10:
3
Lattice="0.0000 3.2312 3.2312 3.2312 0.0000 3.2312 3.2312 3.2312 0.0000" Properties=species:S:1:pos:R:3 comment="HfBiOs | OQMD via LeMat-Bulk | GGA-PBE | optimized geometry" final_energy_ev_per_atom=-8.4412 pbc="T T T"
Hf 4.8468 4.8468 4.8468
Bi 1.6156 1.6156 1.6156
Os 0.0000 0.0000 0.0000

Entry 11:
12
Lattice="4.5766 -6.4561 0.0000 4.5766 6.4561 0.0000 -4.5766 0.0000 4.5766" Properties=species:S:1:pos:R:3 comment="Hf2Bi2OsPd | OQMD via LeMat-Bulk | GGA-PBE | optimized geometry" final_energy_ev_per_atom=-7.7515 pbc="T T T"
Hf 2.3349 1.6140 4.5300
Hf 2.2417 1.6140 0.0466
Bi -0.0018 1.6140 2.2901
Hf -0.0466 -1.6140 2.2417
Pd 4.5766 0.0000 0.0000
Bi 2.2865 -1.6140 4.5748
Bi 4.5784 1.6140 2.2865
Hf 4.6232 -1.6140 2.3349
Os 0.0000 0.0000 0.0000
Pd 2.2883 -3.2280 2.2883
Os 2.2883 3.2280 2.2883
Bi 2.2901 -1.6140 0.0018

Entry 12:
9
Lattice="7.7933 0.0000 0.0000 -3.8967 6.7492 0.0000 0.0000 0.0000 3.8308" Properties=species:S:1:pos:R:3 comment="Hf3Sc3Bi2Os | OQMD via LeMat-Bulk | GGA-PBE | optimized geometry" e_above_lowest_polymorph_mev_per_atom=133 pbc="T T T"
Bi 0.0000 4.4995 1.9154
Hf -2.4310 4.2106 0.0000
Os 0.0000 0.0000 0.0000
Sc 1.8791 0.0000 1.9154
Hf 4.8620 0.0000 0.0000
Hf 1.4657 2.5386 0.0000
Bi 3.8967 2.2497 1.9154
Sc -0.9395 1.6273 1.9154
Sc 2.9571 5.1219 1.9154